# 1
Material: RbCo2P2
Method: DFT, PBE-GGA
State: optimized geometry

The structure in POSCAR format:
```
RbCo2P2
1.0
8.104 0.000 0.000
0.000 8.104 0.000
0.000 0.000 2.877
Rb Co P
2 4 4
Cartesian
0.000 0.000 0.000
4.052 4.052 0.000
0.863 3.189 1.438
3.189 7.241 1.438
4.915 0.863 1.438
7.241 4.915 1.438
0.911 4.963 0.000
3.141 0.911 0.000
4.963 7.193 0.000
7.193 3.141 0.000
```

- DOS(E_F): 0.733 states/eV per atom
- Final energy: -5.057 eV per atom
- Energy relative to the elements: 0.143 eV per atom
- Calculated density: 4.7 g cm⁻³


# 2
Material: PPtIO2
Method: DFT, PBE-GGA
State: optimized geometry

The structure in POSCAR format:
```
PPtIO2
1.0
3.965 0.000 0.000
0.000 3.965 0.000
0.000 0.000 5.262
P Pt I O
1 1 1 2
Cartesian
0.000 0.000 0.000
0.000 0.000 2.631
1.983 1.983 0.000
0.000 1.983 2.631
1.983 0.000 2.631
```

- DOS(E_F): 1.032 states/eV per atom
- E above lowest polymorph: 327 meV/atom
- Energy relative to the elements, uncorrected: 1.21 eV per formula unit
- Final energy: -4.342 eV per atom
- Calculated density: 7.7 g cm⁻³


# 3
Material: KAg3F
Method: DFT, PBE-GGA
State: optimized geometry

The structure in POSCAR format:
```
KAg3F
1.0
4.922 0.000 0.000
0.000 4.922 0.000
0.000 0.000 4.922
K Ag F
1 3 1
Cartesian
0.000 0.000 0.000
0.000 2.461 2.461
2.461 0.000 2.461
2.461 2.461 0.000
2.461 2.461 2.461
```

- DOS(E_F): 0.342 states/eV per atom
- E above lowest polymorph: 0 meV/atom
- Energy relative to the elements, uncorrected: -0.46 eV per formula unit
- Final energy: -2.396 eV per atom
- Calculated density: 5.3 g cm⁻³


# 4
Material: TaSbPb2
Method: DFT, PBE-GGA
State: optimized geometry

The structure in POSCAR format:
```
TaSbPb2
1.0
1.659 0.958 11.003
-1.659 0.958 11.003
0.000 -1.915 11.003
Ta Sb Pb
1 1 2
Cartesian
0.000 0.000 0.000
0.000 0.000 24.171
0.000 0.000 8.541
0.000 0.000 16.311
```

- DOS(E_F): 0.372 states/eV per atom
- Energy relative to the elements, uncorrected: 0.89 eV per formula unit
- Final energy: -5.625 eV per atom
- Calculated density: 11.4 g cm⁻³


# 5
Material: Ce2NbAl
Method: DFT, PBE-GGA
State: optimized geometry

The structure in POSCAR format:
```
Ce2NbAl
1.0
4.290 0.000 0.000
0.000 4.290 0.000
0.000 0.000 4.774
Ce Nb Al
2 1 1
Cartesian
0.000 2.145 0.000
2.145 0.000 0.000
0.000 0.000 2.387
2.145 2.145 2.387
```

- DOS(E_F): 2.023 states/eV per atom
- E above lowest polymorph: 0 meV/atom
- Final energy: -6.480 eV per atom
- Energy relative to the elements: -0.060 eV per atom
- Calculated density: 7.6 g cm⁻³


# 6
Material: YGa2Ni2
Method: DFT, PBE-GGA
State: optimized geometry

The structure in POSCAR format:
```
YGa2Ni2
1.0
7.346 0.000 0.000
0.000 7.346 0.000
0.000 0.000 2.881
Y Ga Ni
2 4 4
Cartesian
0.000 0.000 0.000
3.673 3.673 0.000
1.146 2.527 1.441
2.527 6.199 1.441
4.819 1.146 1.441
6.199 4.819 1.441
0.971 4.644 0.000
2.702 0.971 0.000
4.644 6.375 0.000
6.375 2.702 0.000
```

- DOS(E_F): 0.784 states/eV per atom
- Final energy: -5.158 eV per atom
- Energy relative to the elements: -0.342 eV per atom
- Calculated density: 7.4 g cm⁻³


# 7
Material: Sm2AlAu
Method: DFT, PBE-GGA
State: optimized geometry

The structure in POSCAR format:
```
Sm2AlAu
1.0
0.000 3.706 3.706
3.706 0.000 3.706
3.706 3.706 0.000
Sm Al Au
2 1 1
Cartesian
1.853 1.853 1.853
5.559 5.559 5.559
0.000 0.000 0.000
3.706 3.706 3.706
```

- DOS(E_F): 1.111 states/eV per atom
- E above lowest polymorph: 62 meV/atom
- Final energy: -4.622 eV per atom
- Energy relative to the elements: -0.507 eV per atom
- Calculated density: 8.6 g cm⁻³


# 8
Material: ScTa2Al
Method: DFT, PBE-GGA
State: optimized geometry

The structure in POSCAR format:
```
ScTa2Al
1.0
-2.084 2.084 4.248
2.084 -2.084 4.248
2.084 2.084 -4.248
Sc Ta Al
1 2 1
Cartesian
0.000 0.000 0.000
2.084 0.000 2.124
0.000 0.000 4.248
0.000 2.084 2.124
```

- DOS(E_F): 1.140 states/eV per atom
- Final energy: -8.471 eV per atom
- Energy relative to the elements: -0.027 eV per atom
- Calculated density: 9.8 g cm⁻³


# 9
Material: BaLa2Tl2Ag2
Method: DFT, PBE-GGA
State: optimized geometry

The structure in POSCAR format:
```
BaLa2Tl2Ag2
1.0
2.549 1.472 9.980
-2.549 1.472 9.980
0.000 -2.943 9.980
Ba La Tl Ag
1 2 2 2
Cartesian
0.000 0.000 0.000
0.000 0.000 3.826
0.000 0.000 26.114
0.000 0.000 7.538
0.000 0.000 22.402
0.000 0.000 12.374
0.000 0.000 17.566
```

- DOS(E_F): 0.745 states/eV per atom
- Final energy: -3.434 eV per atom
- Energy relative to the elements: -0.261 eV per atom
- Calculated density: 7.7 g cm⁻³


# 10
Material: TbGaNi2H
Method: DFT, PBE-GGA
State: optimized geometry

The structure in POSCAR format:
```
TbGaNi2H
1.0
1.860 -5.157 0.000
1.860 5.157 0.000
0.000 0.000 7.015
Tb Ga Ni H
2 2 4 2
Cartesian
1.860 4.543 5.261
1.860 -4.543 1.754
1.860 2.859 1.754
1.860 -2.859 5.261
1.860 1.621 3.899
1.860 1.621 6.623
1.860 -1.621 0.392
1.860 -1.621 3.116
1.860 0.000 0.000
1.860 0.000 3.507
```

- DOS(E_F): 0.360 states/eV per atom
- Final energy: -5.056 eV per atom
- Calculated density: 8.6 g cm⁻³


# 11
Material: SmDyGeRh
Method: DFT, PBE-GGA
State: optimized geometry

The structure in POSCAR format:
```
SmDyGeRh
1.0
0.000 3.540 3.540
3.540 0.000 3.540
3.540 3.540 0.000
Sm Dy Ge Rh
1 1 1 1
Cartesian
0.000 0.000 0.000
3.540 3.540 3.540
1.770 1.770 1.770
5.310 5.310 5.310
```

- DOS(E_F): 0.577 states/eV per atom
- E above lowest polymorph: 151 meV/atom
- Final energy: -6.012 eV per atom
- Energy relative to the elements: -0.689 eV per atom
- Calculated density: 9.1 g cm⁻³


# 12
Material: Tb2HoMg5
Method: DFT, PBE-GGA
State: optimized geometry

The structure in POSCAR format:
```
Tb2HoMg5
1.0
-2.625 2.625 7.581
2.625 -2.625 7.581
2.625 2.625 -7.581
Tb Ho Mg
2 1 5
Cartesian
0.000 0.000 3.692
0.000 0.000 11.470
0.000 0.000 7.581
0.000 0.000 0.000
2.625 0.000 1.798
2.625 0.000 5.783
0.000 2.625 1.798
0.000 2.625 5.783
```

- DOS(E_F): 0.862 states/eV per atom
- Final energy: -2.794 eV per atom
- Energy relative to the elements: -0.067 eV per atom
- Calculated density: 4.8 g cm⁻³